22
Lattice="-0.664 1.073 -3.908 5.818 -4.109 0.042 -12.157 -17.237 -2.668" Properties=species:S:1:pos:R:3 comment="RbCe4S6 | Alexandria via LeMat-Bulk | PBE | optimized geometry" density_g_cm3=4.68 raw_formation_energy_mev_per_atom=-1873 pbc="T T T"
Rb -1.663 -4.886 -3.217
Rb -5.341 -15.388 -3.318
Ce -2.896 -11.401 -4.796
Ce 2.818 -5.110 -1.881
Ce -4.107 -8.873 -1.739
Ce -9.821 -15.164 -4.653
Ce -7.979 -18.608 -5.911
Ce 0.976 -1.666 -0.623
Ce -6.907 -11.033 -4.014
Ce -0.096 -9.241 -2.521
S -0.332 0.536 -1.954
S -6.410 -8.082 -3.288
S -3.871 -6.246 -1.057
S -3.132 -14.028 -5.477
S -5.528 -17.424 -6.003
S -1.475 -2.849 -0.532
S -2.464 -8.616 -4.104
S -4.539 -11.658 -2.430
S -8.649 -17.485 -3.332
S 1.646 -2.788 -3.203
S 0.709 -6.751 -1.974
S -7.712 -13.523 -4.561